VASP calculation (PBE) on crystalline MgSi2 at its relaxed geometry.

Cell: 5.328 5.328 5.328 Å, 130.95 109.39 90.72°
Element x y z (fractional)
Mg 0.307 0.057 0.250
Mg 0.693 0.943 0.750
Si 0.103 0.658 0.445
Si 0.713 0.658 0.055
Si 0.287 0.342 0.945
Si 0.897 0.342 0.555

## Properties
* ρ: 2.6 g cm⁻³
* raw total energy: -24.206 eV for the cell shown
* space-group type: Imma, No. 74
* ΔE_f (raw): 0.34 eV/f.u.